{
  "formula": "SrZrCu2Cl",
  "functional": "PBE",
  "state": "relaxed",
  "cell": [[4.890, 0.000, 0.000], [0.000, 7.108, 0.000], [0.000, 0.000, 4.890]],
  "species": ["Sr", "Cu", "Cu", "Zr", "Cl"],
  "frac_coords": [[0.000, 0.500, 0.000], [0.000, 0.000, 0.500], [0.500, 0.000, 0.000], [0.000, 0.000, 0.000], [0.500, 0.500, 0.500]],
  "e_form_raw_mev_per_atom": 537.6,
  "e_tot_ev_per_cell": -17.58,
  "spacegroup": "P4/mmm",
  "m_tot_mub_per_atom": 0.46,
  "crystal_system": "tetragonal"
}